Version P
This record from the Alexandria database describes crystalline Ca2NbReNi at its relaxed geometry. The functional is PBE-GGA.

Cell and atoms, written as POSCAR:
```
Ca2NbReNi
1.0
5.649 0.000 0.000
0.000 5.649 0.000
0.000 0.000 4.584
Ca Nb Re Ni
2 1 1 1
Direct
0.000 0.500 0.000 Ca
0.500 0.000 0.000 Ca
0.000 0.000 0.000 Nb
0.000 0.000 0.500 Re
0.500 0.500 0.500 Ni
```

Properties
calculated density: 4.744 Mg/m³
spin magnetization: 0.0 μB/cell



Version Q
This record from the Alexandria database describes crystalline Ca2NbReNi at its relaxed geometry. The functional is PBE-GGA.

Cell and atoms, written as POSCAR:
```
Ca2NbReNi
1.0
5.578 0.000 0.000
0.000 5.578 0.000
0.000 0.000 4.417
Ca Nb Re Ni
2 1 1 1
Direct
0.000 0.500 0.000 Ca
0.500 0.000 0.000 Ca
0.000 0.000 0.000 Nb
0.500 0.500 0.500 Re
0.000 0.000 0.500 Ni
```

Properties
calculated density: 5.049 Mg/m³
spin magnetization: 5.3 μB/cell



In order of decreasing stability: version P, version Q.



Version P
This record from the Alexandria database describes crystalline CaNb4O8 at its relaxed geometry. The functional is PBE-GGA.

Cell and atoms, written as POSCAR:
```
CaNb4O8
1.0
5.210 -3.045 0.000
5.210 3.045 0.000
-5.002 0.000 6.034
Ca Nb O
1 4 8
Direct
0.000 0.000 0.000 Ca
0.275 0.275 0.528 Nb
0.275 0.725 0.500 Nb
0.725 0.275 0.500 Nb
0.725 0.725 0.472 Nb
0.159 0.696 0.702 O
0.165 0.165 0.672 O
0.296 0.296 0.279 O
0.304 0.841 0.298 O
0.696 0.159 0.702 O
0.704 0.704 0.721 O
0.835 0.835 0.328 O
0.841 0.304 0.298 O
```

Properties
calculated density: 4.681 Mg/m³
spin magnetization: 0.0 μB/cell



Version Q
This record from the Alexandria database describes crystalline CaNb4O8 at its relaxed geometry. The functional is PBE-GGA.

Cell and atoms, written as POSCAR:
```
CaNb4O8
1.0
4.902 -5.218 0.000
4.902 5.218 0.000
-0.813 0.000 9.762
Ca Nb O
3 12 24
Direct
0.000 0.000 0.000 Ca
0.274 0.274 0.275 Ca
0.529 0.529 0.525 Ca
0.005 0.568 0.515 Nb
0.065 0.499 0.007 Nb
0.229 0.791 0.283 Nb
0.298 0.731 0.783 Nb
0.301 0.301 0.799 Nb
0.499 0.065 0.007 Nb
0.500 0.500 0.996 Nb
0.568 0.005 0.515 Nb
0.731 0.298 0.783 Nb
0.791 0.229 0.283 Nb
0.799 0.799 0.299 Nb
0.996 0.996 0.498 Nb
0.003 0.266 0.433 O
0.029 0.291 0.856 O
0.072 0.723 0.897 O
0.083 0.805 0.629 O
0.231 0.492 0.659 O
0.234 0.564 0.397 O
0.266 0.003 0.433 O
0.291 0.029 0.856 O
0.299 0.988 0.145 O
0.301 0.566 0.133 O
0.480 0.815 0.644 O
0.489 0.769 0.944 O
0.492 0.231 0.659 O
0.529 0.796 0.359 O
0.564 0.234 0.397 O
0.566 0.301 0.133 O
0.722 0.991 0.161 O
0.723 0.072 0.897 O
0.769 0.489 0.944 O
0.796 0.529 0.359 O
0.805 0.083 0.629 O
0.815 0.480 0.644 O
0.988 0.299 0.145 O
0.991 0.722 0.161 O
```

Properties
calculated density: 5.384 Mg/m³
spin magnetization: 0.0 μB/cell



In order of decreasing stability: version Q, version P.



Version P
This record from the Alexandria database describes crystalline Ca2NbO4 at its relaxed geometry. The functional is PBE-GGA.

Cell and atoms, written as POSCAR:
```
Ca2NbO4
1.0
-2.017 2.017 6.018
2.017 -2.017 6.018
2.017 2.017 -6.018
Ca Nb O
2 1 4
Direct
0.146 0.146 0.000 Ca
0.854 0.854 0.000 Ca
0.500 0.500 0.000 Nb
0.000 0.500 0.500 O
0.328 0.328 0.000 O
0.500 0.000 0.500 O
0.672 0.672 0.000 O
```

Properties
calculated density: 4.021 Mg/m³
spin magnetization: 0.0 μB/cell



Version Q
This record from the Alexandria database describes crystalline Ca2NbO4 at its relaxed geometry. The functional is PBE-GGA.

Cell and atoms, written as POSCAR:
```
Ca2NbO4
1.0
6.121 0.000 0.000
0.000 6.020 0.000
-1.873 0.000 6.135
Ca Nb O
4 2 8
Direct
0.142 0.250 0.027 Ca
0.219 0.250 0.550 Ca
0.781 0.750 0.450 Ca
0.858 0.750 0.973 Ca
0.321 0.750 0.819 Nb
0.679 0.250 0.181 Nb
0.060 0.526 0.760 O
0.060 0.974 0.760 O
0.462 0.250 0.341 O
0.493 0.250 0.892 O
0.507 0.750 0.108 O
0.538 0.750 0.659 O
0.940 0.026 0.240 O
0.940 0.474 0.240 O
```

Properties
calculated density: 3.483 Mg/m³
spin magnetization: 1.9 μB/cell



In order of decreasing stability: version P, version Q.



Version P
This record from the Alexandria database describes crystalline CaNb2O4 at its relaxed geometry. The functional is PBE-GGA.

Cell and atoms, written as POSCAR:
```
CaNb2O4
1.0
5.116 0.000 0.000
0.000 12.002 0.000
0.000 0.000 5.911
Ca Nb O
4 8 16
Direct
0.192 0.004 0.250 Ca
0.192 0.496 0.750 Ca
0.808 0.504 0.250 Ca
0.808 0.996 0.750 Ca
0.159 0.746 0.250 Nb
0.159 0.754 0.750 Nb
0.344 0.250 0.000 Nb
0.344 0.250 0.500 Nb
0.656 0.750 0.000 Nb
0.656 0.750 0.500 Nb
0.841 0.246 0.250 Nb
0.841 0.254 0.750 Nb
0.008 0.137 0.504 O
0.008 0.137 0.996 O
0.008 0.363 0.004 O
0.008 0.363 0.496 O
0.485 0.643 0.750 O
0.485 0.857 0.250 O
0.494 0.640 0.250 O
0.494 0.860 0.750 O
0.506 0.140 0.250 O
0.506 0.360 0.750 O
0.515 0.143 0.750 O
0.515 0.357 0.250 O
0.992 0.637 0.504 O
0.992 0.637 0.996 O
0.992 0.863 0.004 O
0.992 0.863 0.496 O
```

Properties
calculated density: 5.305 Mg/m³
spin magnetization: 0.0 μB/cell



Version Q
This record from the Alexandria database describes crystalline CaNb2O4 at its relaxed geometry. The functional is PBE-GGA.

Cell and atoms, written as POSCAR:
```
CaNb2O4
1.0
6.226 -1.504 0.000
6.226 1.504 0.000
-1.840 0.000 4.878
Ca Nb O
1 2 4
Direct
0.000 0.000 0.000 Ca
0.262 0.262 0.296 Nb
0.738 0.738 0.704 Nb
0.124 0.124 0.461 O
0.348 0.348 0.993 O
0.652 0.652 0.007 O
0.876 0.876 0.539 O
```

Properties
calculated density: 5.271 Mg/m³
spin magnetization: 0.0 μB/cell



In order of decreasing stability: version P, version Q.



Version P
This record from the Alexandria database describes crystalline CaNb3O at its relaxed geometry. The functional is PBE-GGA.

Cell and atoms, written as POSCAR:
```
CaNb3O
1.0
4.422 0.000 0.000
0.000 4.422 0.000
0.000 0.000 4.422
Ca Nb O
1 3 1
Direct
0.000 0.000 0.000 Ca
0.000 0.500 0.500 Nb
0.500 0.000 0.500 Nb
0.500 0.500 0.000 Nb
0.500 0.500 0.500 O
```

Properties
calculated density: 6.429 Mg/m³
spin magnetization: 0.0 μB/cell



Version Q
This record from the Alexandria database describes crystalline CaNb3O at its relaxed geometry. The functional is PBE-GGA.

Cell and atoms, written as POSCAR:
```
CaNb3O
1.0
4.746 0.000 0.000
0.000 4.746 0.000
0.000 0.000 4.746
Ca Nb O
1 3 1
Direct
0.000 0.000 0.000 Ca
0.000 0.000 0.500 Nb
0.000 0.500 0.000 Nb
0.500 0.000 0.000 Nb
0.500 0.500 0.500 O
```

Properties
calculated density: 5.202 Mg/m³
spin magnetization: 0.0 μB/cell



In order of decreasing stability: version P, version Q.



Version P
This record from the Alexandria database describes crystalline CaNbP3 at its relaxed geometry. The functional is PBE-GGA.

Cell and atoms, written as POSCAR:
```
CaNbP3
1.0
4.885 0.000 0.000
0.000 4.885 0.000
0.000 0.000 4.885
Ca Nb P
1 1 3
Direct
0.000 0.000 0.000 Ca
0.500 0.500 0.500 Nb
0.000 0.000 0.500 P
0.000 0.500 0.000 P
0.500 0.000 0.000 P
```

Properties
calculated density: 3.219 Mg/m³
spin magnetization: 0.0 μB/cell



Version Q
This record from the Alexandria database describes crystalline CaNbP3 at its relaxed geometry. The functional is PBE-GGA.

Cell and atoms, written as POSCAR:
```
CaNbP3
1.0
4.852 0.000 0.000
0.000 4.852 0.000
0.000 0.000 4.852
Ca Nb P
1 1 3
Direct
0.000 0.000 0.000 Ca
0.500 0.500 0.500 Nb
0.000 0.500 0.500 P
0.500 0.000 0.500 P
0.500 0.500 0.000 P
```

Properties
calculated density: 3.284 Mg/m³
spin magnetization: 0.0 μB/cell



In order of decreasing stability: version Q, version P.



Version P
This record from the Alexandria database describes crystalline Ca3NbP at its relaxed geometry. The functional is PBE-GGA.

Cell and atoms, written as POSCAR:
```
Ca3NbP
1.0
5.379 0.000 0.000
0.000 5.379 0.000
0.000 0.000 5.379
Ca Nb P
3 1 1
Direct
0.000 0.000 0.500 Ca
0.000 0.500 0.000 Ca
0.500 0.000 0.000 Ca
0.000 0.000 0.000 Nb
0.500 0.500 0.500 P
```

Properties
calculated density: 2.604 Mg/m³
spin magnetization: 0.0 μB/cell



Version Q
This record from the Alexandria database describes crystalline Ca3NbP at its relaxed geometry. The functional is PBE-GGA.

Cell and atoms, written as POSCAR:
```
Ca3NbP
1.0
5.485 0.000 0.000
0.000 5.485 0.000
0.000 0.000 5.485
Ca Nb P
3 1 1
Direct
0.000 0.000 0.500 Ca
0.000 0.500 0.000 Ca
0.500 0.000 0.000 Ca
0.500 0.500 0.500 Nb
0.000 0.000 0.000 P
```

Properties
calculated density: 2.456 Mg/m³
spin magnetization: 5.7 μB/cell



In order of decreasing stability: version Q, version P.



Version P
This record from the Alexandria database describes crystalline CaNbP2S at its relaxed geometry. The functional is PBE-GGA.

Cell and atoms, written as POSCAR:
```
CaNbP2S
1.0
4.837 0.000 0.000
0.000 4.837 0.000
0.000 0.000 4.879
Ca Nb P S
1 1 2 1
Direct
0.000 0.000 0.000 Ca
0.500 0.500 0.500 Nb
0.000 0.500 0.500 P
0.500 0.000 0.500 P
0.500 0.500 0.000 S
```

Properties
calculated density: 3.301 Mg/m³
spin magnetization: 0.0 μB/cell



Version Q
This record from the Alexandria database describes crystalline CaNbP2S at its relaxed geometry. The functional is PBE-GGA.

Cell and atoms, written as POSCAR:
```
CaNbP2S
1.0
4.948 0.000 0.000
0.000 4.948 0.000
0.000 0.000 4.871
Ca Nb P S
1 1 2 1
Direct
0.000 0.000 0.000 Ca
0.500 0.500 0.500 Nb
0.000 0.500 0.000 P
0.500 0.000 0.000 P
0.000 0.000 0.500 S
```

Properties
calculated density: 3.160 Mg/m³
spin magnetization: 0.0 μB/cell



In order of decreasing stability: version P, version Q.